This record from the Alexandria database describes a geometry-optimized Li2VCrO4 structure. The functional is GGA+U.

Calculated values
Distance to the lowest polymorph of the same formula   0.013 eV/atom
Total energy   -6.898 eV/atom

a b c (Å): 5.968 6.010 8.401
angles (deg): 90.00 90.00 90.00
Space group Imma (No. 74)
Inequivalent atoms, fractional coordinates:
Li: 0.000 0.000 0.000 (multiplicity 4)
Li: 0.250 0.250 0.250 (multiplicity 4)
V: 0.000 0.000 0.500 (multiplicity 4)
Cr: 0.250 0.250 0.750 (multiplicity 4)
O: 0.000 0.018 0.742 (multiplicity 8)
O: 0.238 0.250 0.508 (multiplicity 8)